## SnH2F (GGA-PBE)

Data for an optimized crystal structure of SnH2F.

Calculated values
* SG: Fm-3m, No. 225
* calculated total energy: -3.244 eV per atom
* crystal system: cubic
* size of the total moment: 0.0 μB per formula unit
* N(E_F): 1.0 states/eV per cell

Structure (POSCAR):
```
SnH2F
1.0
2.7689 -1.5277 2.1523
-0.2761 0.0842 3.8144
-0.6499 -3.2307 1.9424
Sn F H
1 1 2
Direct
0.5000 0.5000 0.5000 Sn
0.0000 0.0000 0.0000 F
0.2500 0.2500 0.2500 H
0.7500 0.7500 0.7500 H
```